[1]
# SrLiIn3

Crystalline SrLiIn3 at its relaxed geometry (PBE-GGA, Alexandria).

Structure (extended XYZ):
```
5
Lattice="5.1557 0.0000 0.0000 0.0000 5.1557 0.0000 0.0000 0.0000 5.1557" Properties=species:S:1:pos:R:3 pbc="T T T"
Sr 0.0000 0.0000 0.0000
Li 2.5778 2.5778 2.5778
In 0.0000 2.5778 2.5778
In 2.5778 0.0000 2.5778
In 2.5778 2.5778 0.0000
```

## Properties
Calculated formation energy ... -0.18 eV per atom
Relative energy among the computed polymorphs ... 0.0763 eV per atom

=====

[2]
# Ba3Nd3HoSe8

Crystalline Ba3Nd3HoSe8 at its relaxed geometry (PBE-GGA, Alexandria).

Structure (extended XYZ):
```
15
Lattice="4.3133 2.4903 7.5704 -4.3133 2.4903 7.5704 0.0000 -4.9806 7.5704" Properties=species:S:1:pos:R:3 pbc="T T T"
Ba -2.1567 -1.2452 7.5704
Ba -2.1567 1.2452 15.1407
Ba 0.0000 2.4903 7.5704
Nd -4.3133 0.0000 11.3555
Nd -2.1567 1.2452 3.7852
Nd 2.1567 1.2452 3.7852
Ho 0.0000 0.0000 11.3556
Se 0.0000 0.0000 5.4758
Se -2.0963 -1.2103 12.9773
Se 0.0000 -2.4207 9.7338
Se -2.0964 1.2103 9.7338
Se 2.0963 -1.2103 12.9774
Se 0.0000 2.4207 12.9774
Se 2.0964 1.2103 9.7338
Se 0.0000 0.0000 17.2353
```

## Properties
Formation energy without anion corrections ... -1.938 eV per atom

=====

[3]
# MnBeRh

Crystalline MnBeRh at its relaxed geometry (PBE-GGA, Alexandria).

Structure (extended XYZ):
```
6
Lattice="2.6609 0.0000 0.0000 0.0000 3.5396 0.0000 -0.4463 0.0000 7.1695" Properties=species:S:1:pos:R:3 pbc="T T T"
Mn 0.0000 0.0000 0.0000
Mn 0.9868 1.7698 0.8844
Be 0.7894 0.0000 2.3944
Be 2.1864 0.0000 4.6606
Rh 0.8401 1.7698 5.5778
Rh 2.1693 1.7698 3.1058
```

## Properties
Calculated formation energy ... -0.15 eV per atom
Relative energy among the computed polymorphs ... 0.1901 eV per atom

=====

Result set for total energy: -2.5469; -5.4397; -6.9015 eV/atom, one per record in the order listed.
Result set for N(E_F): 3.0; 3.8; 2.8 states/eV/f.u., one per record in the order listed.
Result set for total magnetic moment: 0.00; 0.00; 0.00 μB/f.u., one per record in the order listed.